A plane-wave DFT calculation with PBE was carried out for a relaxed structure of Si2IrW. Values from VASP.

Geometry as Quantum ESPRESSO input:
```
&SYSTEM
  ibrav = 0, nat = 4, ntyp = 3
/
ATOMIC_SPECIES
Ir 192.22 Ir.upf
Si 28.09 Si.upf
W 183.84 W.upf
ATOMIC_POSITIONS crystal
Ir 0.500 0.500 0.750
Si 0.000 0.000 0.509
Si 0.000 0.000 0.991
W 0.500 0.500 0.250
CELL_PARAMETERS angstrom
2.821 -0.028 0.000
-0.583 2.761 0.000
0.000 0.000 7.269
```

Summary:
theoretical density = 12.70 g/cm³
E above lowest polymorph = 0.274 eV/atom



A plane-wave DFT calculation with PBE was carried out for a relaxed structure of Pr2PuZn. Values from VASP.

Geometry as Quantum ESPRESSO input:
```
&SYSTEM
  ibrav = 0, nat = 4, ntyp = 3
/
ATOMIC_SPECIES
Pr 140.91 Pr.upf
Pu 244.00 Pu.upf
Zn 65.41 Zn.upf
ATOMIC_POSITIONS crystal
Pr 0.242 0.242 0.275
Pr 0.758 0.758 0.725
Pu 0.000 0.000 0.000
Zn 0.500 0.500 0.500
CELL_PARAMETERS angstrom
-2.128 -2.180 2.003
0.977 -0.878 3.401
-5.534 7.352 5.442
```

Summary:
energy relative to the elements = 0.081 eV/atom
theoretical density = 8.14 g/cm³
E above lowest polymorph = 0.115 eV/atom